Record 1
This record from Alexandria via LeMat-Bulk describes an optimized crystal structure of CsGaBi2Pb. The functional is PBE.

Values from the calculation:
Formation enthalpy at 0 K (eV per atom): -0.1701

a b c (Å): 5.365 5.365 7.707
angles (deg): 110.37 110.37 90.00
Atoms (fractional coordinates):
Pb: 0.750 0.250 0.500
Bi: 0.378 0.378 0.755
Bi: 0.622 0.622 0.245
Cs: 0.000 0.000 0.000
Ga: 0.250 0.750 0.500

Record 2
This record from Alexandria via LeMat-Bulk describes an optimized crystal structure of CsGaBiPb. The functional is PBE.

Values from the calculation:
Formation enthalpy at 0 K (eV per atom): -0.1163

a b c (Å): 4.734 4.734 14.809
angles (deg): 90.00 90.00 90.00
Atoms (fractional coordinates):
Ga: 0.250 0.750 0.000
Ga: 0.750 0.250 0.000
Pb: 0.750 0.250 0.500
Pb: 0.250 0.750 0.500
Cs: 0.250 0.250 0.740
Cs: 0.750 0.750 0.260
Bi: 0.250 0.250 0.112
Bi: 0.750 0.750 0.888

Record 3
This record from Alexandria via LeMat-Bulk describes an optimized crystal structure of CsGaBi2Rh. The functional is PBE.

Values from the calculation:
Formation enthalpy at 0 K (eV per atom): 0.3396

a b c (Å): 5.693 4.888 5.693
angles (deg): 90.00 90.00 90.00
Atoms (fractional coordinates):
Bi: 0.000 0.000 0.500
Bi: 0.500 0.000 0.000
Rh: 0.000 0.500 0.000
Cs: 0.500 0.500 0.500
Ga: 0.000 0.000 0.000

Record 4
This record from Alexandria via LeMat-Bulk describes an optimized crystal structure of Cs2GaBiS4. The functional is PBE.

Values from the calculation:
Formation energy from raw total energies (eV per atom): -0.793

a b c (Å): 6.492 8.018 13.169
angles (deg): 84.27 75.73 66.12
Atoms (fractional coordinates):
Ga: 0.500 0.000 0.000
Ga: 0.250 0.500 0.500
S: 0.501 0.310 0.602
S: 0.897 0.690 0.602
S: 0.337 0.810 0.102
S: 0.561 0.190 0.102
S: 0.189 0.310 0.398
S: 0.413 0.690 0.398
S: 0.249 0.190 0.898
S: 0.853 0.810 0.898
Cs: 0.930 0.500 0.140
Cs: 0.820 0.000 0.360
Cs: 0.570 0.500 0.860
Cs: 0.180 0.000 0.640
Bi: 0.000 0.000 0.000
Bi: 0.750 0.500 0.500

Record 5
This record from Alexandria via LeMat-Bulk describes an optimized crystal structure of CsGa2BiSb. The functional is PBE.

Values from the calculation:
Formation energy from raw total energies (eV per atom): -0.247

a b c (Å): 4.815 8.732 9.451
angles (deg): 105.61 90.00 90.00
Atoms (fractional coordinates):
Ga: 0.250 0.493 0.623
Ga: 0.250 0.500 0.126
Ga: 0.750 0.500 0.874
Ga: 0.750 0.507 0.377
Sb: 0.250 0.679 0.916
Sb: 0.750 0.321 0.084
Cs: 0.750 0.925 0.217
Cs: 0.250 0.075 0.783
Bi: 0.750 0.301 0.571
Bi: 0.250 0.699 0.429

Record 6
This record from Alexandria via LeMat-Bulk describes an optimized crystal structure of CsGaBiSe3. The functional is PBE.

Values from the calculation:
Formation energy from raw total energies (eV per atom): -0.668

a b c (Å): 4.673 9.603 10.210
angles (deg): 107.59 90.00 90.00
Atoms (fractional coordinates):
Se: 0.750 0.866 0.152
Se: 0.750 0.456 0.148
Se: 0.250 0.823 0.469
Se: 0.750 0.177 0.531
Se: 0.250 0.544 0.852
Se: 0.250 0.134 0.848
Cs: 0.250 0.195 0.231
Cs: 0.750 0.805 0.769
Ga: 0.250 0.107 0.597
Ga: 0.750 0.893 0.403
Bi: 0.750 0.342 0.865
Bi: 0.250 0.658 0.135

Number 1: DOS(E_F) 0.344 states/eV per atom. Number 2: DOS(E_F) 0.613 states/eV per atom. Number 3: DOS(E_F) 1.146 states/eV per atom. Number 4: DOS(E_F) 0.000 states/eV per atom. Number 5: DOS(E_F) 0.064 states/eV per atom. Number 6: DOS(E_F) 0.201 states/eV per atom.